Material: CaInRe2
Method: DFT, GGA-PBE
State: optimized geometry

abc: 4.2940 4.9269 7.3561
angles: 90.00 90.00 90.00
Space group Imm2 (No. 44)
Unique sites:
Ca 0.0000 0.0000 0.0000
In 0.0000 0.5000 0.7762
Re 0.0000 0.0000 0.5468
Re 0.0000 0.5000 0.2230

Computed properties:
Magnetization = 0.00 μB per formula unit
D(E_F) = 5.2 states/eV per cell
Mass density = 11.3 g/cm3
Calculated formation energy = 0.4671 eV/atom



Material: Ca2InRe
Method: DFT, GGA-PBE
State: optimized geometry

abc: 4.3242 4.3242 21.2212
angles: 90.00 90.00 90.00
Space group I-42d (No. 122)
Unique sites:
Ca 0.2357 0.2500 0.1250
In 0.0000 0.0000 0.5000
Re 0.0000 0.0000 0.0000

Computed properties:
Magnetization = 1.06 μB per formula unit
D(E_F) = 14.9 states/eV per cell
Mass density = 6.4 g/cm3
Calculated formation energy = 0.9045 eV/atom



Material: CaInRe2
Method: DFT, GGA-PBE
State: optimized geometry

abc: 5.7343 9.8043 2.7718
angles: 90.00 109.84 90.00
Space group C2/m (No. 12)
Unique sites:
Ca 0.0000 0.0000 0.0000
In 0.0000 0.5000 0.0000
Re 0.2500 0.2500 0.5000

Computed properties:
Magnetization = 0.00 μB per formula unit
D(E_F) = 5.7 states/eV per cell
Mass density = 11.9 g/cm3
Calculated formation energy = 0.6991 eV/atom



Material: CaInRe2
Method: DFT, GGA-PBE
State: optimized geometry

abc: 7.9895 7.9895 5.3168
angles: 90.00 90.00 90.00
Space group I-42d (No. 122)
Unique sites:
Ca 0.0000 0.0000 0.0000
In 0.0000 0.0000 0.5000
Re 0.2155 0.2500 0.6250

Computed properties:
Magnetization = 0.36 μB per formula unit
D(E_F) = 16.0 states/eV per cell
Mass density = 10.3 g/cm3
Calculated formation energy = 1.2835 eV/atom



Material: Ca2InRe
Method: DFT, GGA-PBE
State: optimized geometry

abc: 4.0061 4.9767 9.7722
angles: 90.00 90.00 90.00
Space group Imm2 (No. 44)
Unique sites:
Ca 0.0000 0.0000 0.0000
Ca 0.0000 0.5000 0.2204
In 0.0000 0.5000 0.7682
Re 0.0000 0.0000 0.4594

Computed properties:
Magnetization = 0.00 μB per formula unit
D(E_F) = 5.3 states/eV per cell
Mass density = 6.5 g/cm3
Calculated formation energy = 0.4147 eV/atom



Material: Ca2InRe
Method: DFT, GGA-PBE
State: optimized geometry

abc: 3.6130 3.6130 8.1937
angles: 90.00 90.00 90.00
Space group P4mm (No. 99)
Unique sites:
Ca 0.0000 0.0000 0.0000
Ca 0.5000 0.5000 0.3860
In 0.0000 0.0000 0.6289
Re 0.5000 0.5000 0.7624

Computed properties:
Magnetization = 0.00 μB per formula unit
D(E_F) = 2.3 states/eV per cell
Mass density = 5.9 g/cm3
Calculated formation energy = 0.3641 eV/atom



Material: Ca2InRe
Method: DFT, GGA-PBE
State: optimized geometry

abc: 3.3946 3.3946 30.9091
angles: 90.00 90.00 120.00
Space group R3m (No. 160, hexagonal axes)
Unique sites:
Ca 0.0000 0.0000 0.0000
Ca 0.0000 0.0000 0.2236
In 0.0000 0.0000 0.7531
Re 0.0000 0.0000 0.4846

Computed properties:
Magnetization = 0.00 μB per formula unit
D(E_F) = 4.9 states/eV per cell
Mass density = 6.2 g/cm3
Calculated formation energy = 0.5909 eV/atom



Material: Ca2InRe
Method: DFT, GGA-PBE
State: optimized geometry

abc: 10.0918 2.9758 6.3191
angles: 90.00 95.40 90.00
Space group C2/m (No. 12)
Unique sites:
Ca 0.2463 0.0000 0.2343
In 0.0000 0.0000 0.5000
Re 0.0000 0.5000 0.0000

Computed properties:
Magnetization = 0.00 μB per formula unit
D(E_F) = 9.0 states/eV per cell
Mass density = 6.7 g/cm3
Calculated formation energy = 0.6183 eV/atom